Entry 1:
Density functional theory data (GGA-PBE) for Ac2PmPd2 after structural relaxation.

Calculated values
Calculated formation energy in meV/atom: -652
Relative energy among the computed polymorphs in eV per atom: 0.000
Crystal system: tetragonal
Size of the total moment in μB/atom: 0.00
Volume in Å³/atom: 29.186

Unit cell a=8.2901 b=8.2901 c=4.2467 alpha=90.00 beta=90.00 gamma=90.00
Space group P4/mbm (No. 127)
Asymmetric unit:
Ac 0.1694 0.3306 0.0000
Pm 0.0000 0.0000 0.5000
Pd 0.1297 0.6297 0.5000

Entry 2:
Density functional theory data (GGA-PBE) for NbBr2O after structural relaxation.

Calculated values
Formation energy without anion corrections in eV per atom: 0.17
Crystal system: cubic
Size of the total moment in μB/atom: 0.25
Volume in Å³/atom: 16.817

Unit cell a=6.4559 b=6.4559 c=6.4559 alpha=90.00 beta=90.00 gamma=90.00
Space group Fm-3m (No. 225)
Asymmetric unit:
Nb 0.0000 0.0000 0.0000
Br 0.2500 0.2500 0.2500
O 0.0000 0.0000 0.5000

Entry 3:
Density functional theory data (GGA-PBE) for Cs2PdBrO after structural relaxation.

Calculated values
Formation energy without anion corrections in eV per atom: -1.08
Crystal system: tetragonal
Size of the total moment in μB/atom: 0.11
Volume in Å³/atom: 32.089

Unit cell a=6.3973 b=6.3973 c=3.9204 alpha=90.00 beta=90.00 gamma=90.00
Space group P4/mmm (No. 123)
Asymmetric unit:
Cs 0.0000 0.5000 0.0000
Pd 0.0000 0.0000 0.5000
Br 0.5000 0.5000 0.5000
O 0.0000 0.0000 0.0000

Entry 4:
Density functional theory data (GGA-PBE) for Li2HgSbCl6 after structural relaxation.

Calculated values
Formation energy without anion corrections in eV per atom: -1.08
Crystal system: trigonal
Size of the total moment in μB/atom: 0.00
Volume in Å³/atom: 27.488

Unit cell a=6.6313 b=6.6313 c=21.6521 alpha=90.00 beta=90.00 gamma=120.00
Space group R-3 (No. 148, hexagonal axes)
Asymmetric unit:
Li 0.0000 0.0000 0.1725
Hg 0.0000 0.0000 0.0000
Sb 0.0000 0.0000 0.5000
Cl 0.0002 0.3263 0.8999

Entry 5:
Density functional theory data (GGA-PBE) for Sc3Cd4 after structural relaxation.

Calculated values
Calculated formation energy in meV/atom: -100
Relative energy among the computed polymorphs in eV per atom: 0.052
Crystal system: trigonal
Size of the total moment in μB/atom: 0.00
Volume in Å³/atom: 24.050

Unit cell a=4.9664 b=4.9664 c=23.6445 alpha=90.00 beta=90.00 gamma=120.00
Space group R-3m (No. 166, hexagonal axes)
Asymmetric unit:
Sc 0.0000 0.0000 0.0000
Sc 0.0000 0.0000 0.2552
Cd 0.0000 0.0000 0.1281
Cd 0.0000 0.0000 0.3863

Entry 6:
Density functional theory data (GGA-PBE) for PHPdCl2 after structural relaxation.

Calculated values
Relative energy among the computed polymorphs in eV per atom: 0.042
Crystal system: tetragonal
Size of the total moment in μB/atom: 0.18
Volume in Å³/atom: 23.019

Unit cell a=5.0650 b=5.0650 c=4.4864 alpha=90.00 beta=90.00 gamma=90.00
Space group P4/mmm (No. 123)
Asymmetric unit:
P 0.0000 0.0000 0.0000
H 0.5000 0.5000 0.0000
Pd 0.0000 0.0000 0.5000
Cl 0.0000 0.5000 0.5000

Entry 7:
Density functional theory data (GGA-PBE) for LiPr3In3 after structural relaxation.

Calculated values
Calculated formation energy in meV/atom: -388
Crystal system: monoclinic
Size of the total moment in μB/atom: 0.00
Volume in Å³/atom: 29.362

Unit cell a=11.5174 b=4.8219 c=15.7021 alpha=90.00 beta=109.47 gamma=90.00
Space group C2/m (No. 12)
Asymmetric unit:
Li 0.2459 0.0000 0.4018
Pr 0.0450 0.5000 0.3840
Pr 0.0947 0.5000 0.9191
Pr 0.2468 0.5000 0.2228
In 0.0401 0.0000 0.2362
In 0.1192 0.0000 0.0730
In 0.1315 0.0000 0.5510

Entry 8:
Density functional theory data (GGA-PBE) for SnGeH after structural relaxation.

Calculated values
Relative energy among the computed polymorphs in eV per atom: 0.017
Crystal system: monoclinic
Size of the total moment in μB/atom: 0.00
Volume in Å³/atom: 20.529

Unit cell a=6.4624 b=6.0902 c=6.2622 alpha=90.00 beta=91.79 gamma=90.00
Space group P2_1/c (No. 14)
Asymmetric unit:
Sn 0.0964 0.2390 0.0276
Ge 0.3349 0.6260 0.9952
H 0.3875 0.7425 0.7414

Entry 9:
Density functional theory data (GGA-PBE) for LaCr2Au after structural relaxation.

Calculated values
Calculated formation energy in meV/atom: 530
Relative energy among the computed polymorphs in eV per atom: 0.469
Crystal system: tetragonal
Size of the total moment in μB/atom: 0.92
Volume in Å³/atom: 23.226

Unit cell a=4.3863 b=4.3863 c=19.3149 alpha=90.00 beta=90.00 gamma=90.00
Space group I4_1/amd (No. 141, origin choice 2)
Asymmetric unit:
La 0.0000 0.2500 0.3750
Cr 0.0000 0.0000 0.0000
Au 0.0000 0.2500 0.8750

Entry 10:
Density functional theory data (GGA-PBE) for Cs3K2PbF8 after structural relaxation.

Calculated values
Formation energy without anion corrections in eV per atom: -2.50
Crystal system: trigonal
Size of the total moment in μB/atom: 0.07
Volume in Å³/atom: 25.665

Unit cell a=6.7371 b=6.7371 c=9.1411 alpha=90.00 beta=90.00 gamma=120.00
Space group P-3m1 (No. 164)
Asymmetric unit:
Cs 0.0000 0.0000 0.0000
Cs 0.3333 0.6667 0.6262
K 0.3333 0.6667 0.1863
Pb 0.0000 0.0000 0.5000
F 0.1558 0.3116 0.3509
F 0.3333 0.6667 0.9220

Entry 11:
Density functional theory data (GGA-PBE) for Mo2C after structural relaxation.

Calculated values
Calculated formation energy in meV/atom: 674
Crystal system: cubic
Size of the total moment in μB/atom: 0.00
Volume in Å³/atom: 12.808

Unit cell a=5.3566 b=5.3566 c=5.3566 alpha=90.00 beta=90.00 gamma=90.00
Space group Fm-3m (No. 225)
Asymmetric unit:
Mo 0.2500 0.2500 0.2500
C 0.0000 0.0000 0.0000

Entry 12:
Density functional theory data (GGA-PBE) for Li2LaMn after structural relaxation.

Calculated values
Calculated formation energy in meV/atom: 428
Relative energy among the computed polymorphs in eV per atom: 0.187
Crystal system: trigonal
Size of the total moment in μB/atom: 0.90
Volume in Å³/atom: 22.682

Unit cell a=3.1834 b=3.1834 c=31.0148 alpha=90.00 beta=90.00 gamma=120.00
Space group R-3m (No. 166, hexagonal axes)
Asymmetric unit:
Li 0.0000 0.0000 0.2378
La 0.0000 0.0000 0.0000
Mn 0.0000 0.0000 0.5000

Repeat the tenth record exactly.
Density functional theory data (GGA-PBE) for Cs3K2PbF8 after structural relaxation.

Calculated values
Formation energy without anion corrections in eV per atom: -2.50
Crystal system: trigonal
Size of the total moment in μB/atom: 0.07
Volume in Å³/atom: 25.665

Unit cell a=6.7371 b=6.7371 c=9.1411 alpha=90.00 beta=90.00 gamma=120.00
Space group P-3m1 (No. 164)
Asymmetric unit:
Cs 0.0000 0.0000 0.0000
Cs 0.3333 0.6667 0.6262
K 0.3333 0.6667 0.1863
Pb 0.0000 0.0000 0.5000
F 0.1558 0.3116 0.3509
F 0.3333 0.6667 0.9220

Which value of volume does entry 2 give? 16.817 Å³/atom

Among the records above, which one has the highest size of the total moment? LaCr2Au

Please write out number 3 again, unchanged.
Density functional theory data (GGA-PBE) for Cs2PdBrO after structural relaxation.

Calculated values
Formation energy without anion corrections in eV per atom: -1.08
Crystal system: tetragonal
Size of the total moment in μB/atom: 0.11
Volume in Å³/atom: 32.089

Unit cell a=6.3973 b=6.3973 c=3.9204 alpha=90.00 beta=90.00 gamma=90.00
Space group P4/mmm (No. 123)
Asymmetric unit:
Cs 0.0000 0.5000 0.0000
Pd 0.0000 0.0000 0.5000
Br 0.5000 0.5000 0.5000
O 0.0000 0.0000 0.0000